# TbScTlAu, relaxed, DFT PBE
# **DFT formation energy**: -222 kJ/mol of formula units
# **Energy above the most stable polymorph in this dataset**: 0.000 eV per atom
data_TbScTlAu
_cell_length_a 3.536
_cell_length_b 3.536
_cell_length_c 7.513
_cell_angle_alpha 90.00
_cell_angle_beta 90.00
_cell_angle_gamma 90.00
_symmetry_space_group_name_H-M 'P 4 m m'
_symmetry_Int_Tables_number 99
_symmetry_space_group_name_Hall 'P 4 -2'
loop_
_atom_site_label
_atom_site_type_symbol
_atom_site_fract_x
_atom_site_fract_y
_atom_site_fract_z
_atom_site_occupancy
Tb1 Tb 0.000 0.000 0.000 1
Sc1 Sc 0.000 0.000 0.542 1
Tl1 Tl 0.500 0.500 0.286 1
Au1 Au 0.500 0.500 0.741 1


# LiMg5Pb3, relaxed, DFT PBE
# **DFT formation energy**: -67 kJ/mol of formula units
data_LiMg5Pb3
_cell_length_a 8.8740
_cell_length_b 8.8740
_cell_length_c 6.4064
_cell_angle_alpha 90.00
_cell_angle_beta 90.00
_cell_angle_gamma 120.00
_symmetry_space_group_name_H-M 'P 63/m c m'
_symmetry_Int_Tables_number 193
_symmetry_space_group_name_Hall '-P 6c 2'
loop_
_atom_site_label
_atom_site_type_symbol
_atom_site_fract_x
_atom_site_fract_y
_atom_site_fract_z
_atom_site_occupancy
Li1 Li 0.0000 0.0000 0.0000 1
Mg1 Mg 0.0000 0.3406 0.2500 1
Mg2 Mg 0.3333 0.6667 0.0000 1
Pb1 Pb 0.0000 0.3245 0.7500 1


# CaAlAs2, relaxed, DFT PBE
# **DFT formation energy**: -157 kJ/mol of formula units
# **Energy above the most stable polymorph in this dataset**: 0.211 eV per atom
data_CaAlAs2
_cell_length_a 3.140
_cell_length_b 5.281
_cell_length_c 5.287
_cell_angle_alpha 90.00
_cell_angle_beta 90.16
_cell_angle_gamma 90.00
_symmetry_space_group_name_H-M 'P 1 m 1'
_symmetry_Int_Tables_number 6
_symmetry_space_group_name_Hall 'P -2y'
loop_
_atom_site_label
_atom_site_type_symbol
_atom_site_fract_x
_atom_site_fract_y
_atom_site_fract_z
_atom_site_occupancy
Ca1 Ca 0.000 0.000 0.000 1
Al1 Al 0.501 0.500 0.524 1
As1 As 0.457 0.500 0.019 1
As2 As 0.543 0.000 0.500 1


VASP calculation (PBE) on an optimized crystal structure of Np2H4Ir.

```
data_Np2H4Ir
_cell_length_a 3.418
_cell_length_b 3.418
_cell_length_c 14.031
_cell_angle_alpha 90.00
_cell_angle_beta 90.00
_cell_angle_gamma 90.00
_symmetry_space_group_name_H-M 'I 4/m m m'
_symmetry_Int_Tables_number 139
_symmetry_space_group_name_Hall '-I 4 2'
loop_
_atom_site_label
_atom_site_type_symbol
_atom_site_fract_x
_atom_site_fract_y
_atom_site_fract_z
_atom_site_occupancy
Np1 Np 0.000 0.000 0.147 1
H1 H 0.000 0.000 0.310 1
H2 H 0.000 0.500 0.000 1
Ir1 Ir 0.000 0.000 0.500 1
```


# Er6CdRu2, relaxed, DFT PBE
# **DFT formation energy**: -193 kJ/mol of formula units
# **Energy above the most stable polymorph in this dataset**: 0.127 eV per atom
data_Er6CdRu2
_cell_length_a 10.029
_cell_length_b 4.973
_cell_length_c 9.291
_cell_angle_alpha 90.00
_cell_angle_beta 100.93
_cell_angle_gamma 90.00
_symmetry_space_group_name_H-M 'C 1 2/m 1'
_symmetry_Int_Tables_number 12
_symmetry_space_group_name_Hall '-C 2y'
loop_
_atom_site_label
_atom_site_type_symbol
_atom_site_fract_x
_atom_site_fract_y
_atom_site_fract_z
_atom_site_occupancy
Er1 Er 0.035 0.000 0.339 1
Er2 Er 0.161 0.500 0.884 1
Er3 Er 0.221 0.500 0.343 1
Cd1 Cd 0.000 0.000 0.000 1
Ru1 Ru 0.110 0.500 0.597 1


# CoPRu2Pt, relaxed, DFT PBE
# **DFT formation energy**: 207 kJ/mol of formula units
# **Energy above the most stable polymorph in this dataset**: 0.000 eV per atom
data_CoPRu2Pt
_cell_length_a 4.320
_cell_length_b 4.320
_cell_length_c 4.101
_cell_angle_alpha 90.00
_cell_angle_beta 90.00
_cell_angle_gamma 90.00
_symmetry_space_group_name_H-M 'P 4/m m m'
_symmetry_Int_Tables_number 123
_symmetry_space_group_name_Hall '-P 4 2'
loop_
_atom_site_label
_atom_site_type_symbol
_atom_site_fract_x
_atom_site_fract_y
_atom_site_fract_z
_atom_site_occupancy
Co1 Co 0.000 0.000 0.000 1
P1 P 0.000 0.000 0.500 1
Ru1 Ru 0.000 0.500 0.500 1
Pt1 Pt 0.500 0.500 0.000 1


# PHSe3, relaxed, DFT PBE
# **Energy above the most stable polymorph in this dataset**: 0.107 eV per atom
data_PHSe3
_cell_length_a 5.629
_cell_length_b 8.833
_cell_length_c 10.316
_cell_angle_alpha 90.00
_cell_angle_beta 113.75
_cell_angle_gamma 90.00
_symmetry_space_group_name_H-M 'P 1 21/c 1'
_symmetry_Int_Tables_number 14
_symmetry_space_group_name_Hall '-P 2ybc'
loop_
_atom_site_label
_atom_site_type_symbol
_atom_site_fract_x
_atom_site_fract_y
_atom_site_fract_z
_atom_site_occupancy
P1 P 0.125 0.096 0.070 1
H1 H 0.278 0.625 0.305 1
Se1 Se 0.163 0.750 0.368 1
Se2 Se 0.260 0.239 0.936 1
Se3 Se 0.432 0.004 0.259 1


# LiSb2, relaxed, DFT PBE
# **Energy above the most stable polymorph in this dataset**: 0.155 eV per atom
# **Energy relative to the elements, uncorrected**: -0.087 eV/atom
data_LiSb2
_cell_length_a 3.935
_cell_length_b 3.935
_cell_length_c 21.125
_cell_angle_alpha 90.00
_cell_angle_beta 90.00
_cell_angle_gamma 90.00
_symmetry_space_group_name_H-M 'I 41/a m d'
_symmetry_Int_Tables_number 141
loop_
_symmetry_equiv_pos_as_xyz
'x,y,z'
'-x,-y,-z'
'-y+1/4,x+3/4,z+1/4'
'y+1/4,-x+3/4,-z+1/4'
'-x+1/2,-y,z+1/2'
'x+1/2,y,-z+1/2'
'y+1/4,-x+1/4,z+3/4'
'-y+1/4,x+1/4,-z+3/4'
'x,-y,-z'
'-x,y,z'
'-y+1/4,-x+1/4,-z+3/4'
'y+1/4,x+1/4,z+3/4'
'-x+1/2,y,-z+1/2'
'x+1/2,-y,z+1/2'
'y+1/4,x+3/4,-z+1/4'
'-y+1/4,-x+3/4,z+1/4'
'x+1/2,y+1/2,z+1/2'
'-x+1/2,-y+1/2,-z+1/2'
'-y+3/4,x+1/4,z+3/4'
'y+3/4,-x+1/4,-z+3/4'
'-x,-y+1/2,z'
'x,y+1/2,-z'
'y+3/4,-x+3/4,z+1/4'
'-y+3/4,x+3/4,-z+1/4'
'x+1/2,-y+1/2,-z+1/2'
'-x+1/2,y+1/2,z+1/2'
'-y+3/4,-x+3/4,-z+1/4'
'y+3/4,x+3/4,z+1/4'
'-x,y+1/2,-z'
'x,-y+1/2,z'
'y+3/4,x+1/4,-z+3/4'
'-y+3/4,-x+1/4,z+3/4'
loop_
_atom_site_label
_atom_site_type_symbol
_atom_site_fract_x
_atom_site_fract_y
_atom_site_fract_z
_atom_site_occupancy
Li1 Li 0.000 0.250 0.375 1
Sb1 Sb 0.000 0.250 0.800 1


Short version: total magnetization = 0.054, 0.000, 0.000, 17.928, 0.000, 2.128, 0.000, 0.000 μB per cell, in the order given.
Short version: uncorrected energy = -0.1737, -0.0886, -0.1531, -0.2537, -0.1995, -0.2569, -0.1378, -0.1277 Ha/atom, in the order given.